K3Na5V2Mo6O24: relaxed, PBE with a Hubbard U.

Cell: 7.840 7.878 7.920 Å, 90.13 90.00 90.00°
Site moments in Bohr magnetons follow the coordinates.
Fractional coordinates of all 40 atoms:
Na: 0.500 0.736 0.734  0.00
Na: 0.500 0.736 0.267  0.00
Na: 0.000 0.736 0.267  0.00
Na: 0.000 0.738 0.734  0.00
Na: 0.000 0.268 0.734  0.00
Mo: 0.249 0.998 0.501  0.50
Mo: 0.250 0.999 0.000  -0.17
Mo: 0.250 0.505 0.000  0.62
Mo: 0.751 0.998 0.501  0.50
Mo: 0.750 0.505 0.000  0.62
Mo: 0.750 0.999 0.000  -0.17
O: 0.745 0.998 0.247  0.00
O: 0.748 0.755 0.499  -0.05
O: 0.749 0.506 0.240  -0.05
O: 0.500 0.997 0.506  -0.04
O: 0.500 0.505 0.502  -0.14
O: 0.731 0.756 0.000  0.00
O: 0.500 0.491 0.997  -0.04
O: 0.500 0.015 0.994  0.03
O: 0.755 0.506 0.759  -0.05
O: 0.269 0.756 0.000  0.00
O: 0.252 0.755 0.499  -0.05
O: 0.758 0.995 0.753  0.00
O: 0.000 0.992 0.496  -0.04
O: 0.245 0.506 0.759  -0.05
O: 0.767 0.246 0.996  0.01
O: 0.245 0.242 0.505  -0.04
O: 0.000 0.521 0.002  -0.05
O: 0.755 0.242 0.505  -0.04
O: 0.000 0.506 0.501  -0.13
O: 0.000 0.980 0.007  0.03
O: 0.255 0.998 0.247  0.00
O: 0.251 0.506 0.240  -0.05
O: 0.233 0.246 0.996  0.01
O: 0.242 0.995 0.753  0.00
V: 0.250 0.503 0.501  1.46
V: 0.750 0.503 0.501  1.46
K: 0.500 0.255 0.256  0.00
K: 0.000 0.255 0.255  0.00
K: 0.500 0.255 0.745  0.00

M_tot = 4.21 Bohr magnetons per cell
Energy = -6.43 eV/atom
Symmetry = Pm